# 1
A plane-wave DFT calculation with PBE was carried out for a relaxed structure of SbAsPd5.

SG: C2/c
Energy relative to the lowest polymorph listed for this composition (eV/f.u.): 1.74
Crystal system: monoclinic
Formation energy (no corrections) (eV/f.u.): -1.0

abc: 6.550 6.550 8.133
angles: 61.22 61.22 80.74
Fractional positions:
Pd: 0.645 0.156 0.983
Pd: 0.769 0.630 0.840
Pd: 0.844 0.355 0.517
Pd: 0.630 0.769 0.340
Pd: 0.370 0.231 0.660
Pd: 0.828 0.172 0.250
Pd: 0.156 0.645 0.483
Pd: 0.172 0.828 0.750
Pd: 0.355 0.844 0.017
Pd: 0.231 0.370 0.160
Sb: 0.480 0.520 0.750
Sb: 0.520 0.480 0.250
As: 0.000 0.000 0.000
As: 0.000 0.000 0.500



# 2
A plane-wave DFT calculation with PBE was carried out for a relaxed structure of Tm2SO2.

SG: C2/m
Crystal system: monoclinic
Formation energy (no corrections) (eV/f.u.): -15.2

abc: 4.022 6.293 8.739
angles: 114.54 90.00 108.64
Fractional positions:
S: 0.665 0.329 0.112
S: 0.335 0.671 0.888
O: 0.024 0.048 0.682
O: 0.341 0.683 0.525
O: 0.976 0.952 0.318
O: 0.659 0.317 0.475
Tm: 0.508 0.015 0.784
Tm: 0.163 0.327 0.570
Tm: 0.837 0.673 0.430
Tm: 0.492 0.985 0.216



# 3
A plane-wave DFT calculation with PBE was carried out for a relaxed structure of Dy3Ho5Ru2.

SG: Ibam
Formation energy from the elements (kJ/mol of formula units): -109
Crystal system: orthorhombic

abc: 8.001 9.755 9.755
angles: 61.46 65.79 65.79
Fractional positions:
Ho: 0.502 0.748 0.748
Ho: 0.498 0.252 0.252
Ho: 0.375 0.858 0.392
Ho: 0.998 0.252 0.252
Ho: 0.750 0.500 0.500
Ho: 0.125 0.608 0.142
Ho: 0.002 0.748 0.748
Ho: 0.625 0.142 0.608
Ho: 0.250 0.500 0.500
Ho: 0.875 0.392 0.858
Dy: 0.750 0.000 0.000
Dy: 0.125 0.142 0.608
Dy: 0.250 0.000 0.000
Dy: 0.375 0.392 0.858
Dy: 0.875 0.858 0.392
Dy: 0.625 0.608 0.142
Ru: 0.369 0.130 0.131
Ru: 0.131 0.869 0.870
Ru: 0.869 0.131 0.130
Ru: 0.631 0.870 0.869



# 4
A plane-wave DFT calculation with PBE was carried out for a relaxed structure of TbNd2Se4.

SG: Imma
Energy relative to the lowest polymorph listed for this composition (eV/f.u.): 0.00
Crystal system: orthorhombic
Formation energy (no corrections) (eV/f.u.): -13.1

abc: 8.341 8.304 8.304
angles: 60.87 59.85 59.85
Fractional positions:
Tb: 0.000 0.500 0.000
Tb: 0.500 0.500 0.000
Se: 0.743 0.264 0.250
Se: 0.257 0.736 0.750
Se: 0.246 0.254 0.754
Se: 0.257 0.250 0.236
Se: 0.754 0.746 0.246
Se: 0.747 0.254 0.754
Se: 0.253 0.746 0.246
Se: 0.743 0.750 0.764
Nd: 0.000 0.000 0.500
Nd: 0.000 0.000 0.000
Nd: 0.000 0.500 0.500
Nd: 0.500 0.000 0.500